ScGePt2 | PBE | relaxed

The structure in extended XYZ format:
```
32
Lattice="5.372 0.000 0.000 0.000 7.137 0.000 0.000 0.000 14.246" Properties=species:S:1:pos:R:3 pbc="T T T"
Pt 5.193 0.364 3.143
Pt 0.179 6.772 11.103
Pt 2.865 3.204 10.266
Pt 4.107 6.799 7.530
Pt 2.507 6.772 3.980
Pt 3.952 3.906 0.407
Pt 4.107 3.906 7.530
Pt 0.179 3.933 11.103
Pt 1.421 3.230 13.840
Pt 5.193 3.204 3.143
Pt 1.266 0.338 6.717
Pt 3.952 6.799 0.407
Pt 1.266 3.230 6.717
Pt 1.421 0.338 13.840
Pt 2.507 3.933 3.980
Pt 2.865 0.364 10.266
Sc 5.259 5.352 5.205
Sc 0.113 1.784 9.041
Sc 2.799 5.352 12.328
Sc 1.472 5.352 1.586
Sc 2.573 1.784 1.918
Sc 3.900 1.784 12.661
Sc 1.214 5.352 8.709
Sc 4.158 1.784 5.538
Ge 0.159 5.352 13.260
Ge 4.104 5.352 2.565
Ge 2.846 1.784 8.109
Ge 2.527 5.352 6.137
Ge 5.213 1.784 0.986
Ge 1.418 1.784 4.559
Ge 3.954 5.352 9.688
Ge 1.268 1.784 11.682
```

Results
Symmetry   Pnma (62)
Crystal system   orthorhombic
Size of the total moment   0.00 μB per cell
E   -6.71 eV/atom


Sc6GePt5 | PBE | relaxed

The structure in extended XYZ format:
```
12
Lattice="4.682 0.002 -1.020 -0.003 6.420 -0.001 -0.958 0.000 7.459" Properties=species:S:1:pos:R:3 pbc="T T T"
Sc 0.378 4.807 2.381
Sc 3.343 1.616 4.057
Sc 2.340 1.625 -0.510
Sc 1.381 4.797 6.949
Sc 0.380 1.614 2.382
Sc 3.342 4.808 4.057
Pt 1.157 0.001 4.664
Pt 1.074 3.211 4.608
Pt 2.647 3.211 1.830
Pt -0.001 3.210 0.000
Pt 2.564 6.421 1.774
Ge 0.000 0.000 0.000
```

Results
Symmetry   P2/m (10)
Crystal system   monoclinic
Size of the total moment   0.00 μB per cell
E   -7.21 eV/atom


Sc2GePt2 | PBE | relaxed

The structure in extended XYZ format:
```
10
Lattice="7.713 0.000 0.000 0.000 7.713 0.000 0.000 0.000 3.211" Properties=species:S:1:pos:R:3 pbc="T T T"
Pt 1.020 4.877 1.605
Pt 2.836 1.020 1.605
Pt 4.877 6.693 1.605
Pt 6.693 2.836 1.605
Sc 5.098 1.241 0.000
Sc 2.615 6.472 0.000
Sc 1.241 2.615 0.000
Sc 6.472 5.098 0.000
Ge 0.000 0.000 0.000
Ge 3.857 3.857 0.000
```

Results
Symmetry   P4/mbm (127)
Crystal system   tetragonal
Size of the total moment   0.00 μB per cell
E   -6.67 eV/atom


> Look up the size of the total moment of the second one.

0.00 μB per cell